Entry from Alexandria via LeMat-Bulk: HgH2F6 after structural relaxation (PBE-GGA).

Cell lengths 14.138, 5.865, 5.865 Å; angles 120.56, 111.92, 111.92 degrees
Atoms (fractional coordinates):
H: 0.254 0.373 0.146
F: 0.064 0.369 0.640
F: 0.680 0.087 0.133
F: 0.180 0.133 0.087
F: 0.826 0.206 0.613
Hg: 0.250 0.864 0.136
F: 0.674 0.387 0.794
F: 0.436 0.360 0.631
F: 0.820 0.867 0.913
F: 0.564 0.640 0.369
F: 0.174 0.794 0.387
F: 0.326 0.613 0.206
F: 0.320 0.913 0.867
Hg: 0.750 0.136 0.864
H: 0.246 0.854 0.627
F: 0.936 0.631 0.360
H: 0.746 0.627 0.854
H: 0.754 0.146 0.373

Summary:
density = 3.816 g/cm³
excess energy over the best structure of this formula in the dataset = 42 meV per atom